Cu5Pt7: relaxed, PBE.

Cell lengths 8.111, 2.748, 8.185 Å; angles 90.00, 109.77, 90.00 degrees
Fractional coordinates of all 12 atoms:
Cu 0.000 0.000 0.000
Cu 0.003 0.000 0.327
Cu 0.231 0.500 0.239
Cu 0.240 0.500 0.568
Cu 0.494 0.000 0.161
Pt 0.003 0.000 0.657
Pt 0.245 0.500 0.924
Pt 0.471 0.000 0.475
Pt 0.490 0.000 0.826
Pt 0.742 0.500 0.404
Pt 0.745 0.500 0.744
Pt 0.760 0.500 0.083

Properties
volume	172	Å³ per cell
final energy	-64.08	eV per cell


Cu5Pt7: relaxed, PBE.

Cell lengths 6.087, 6.087, 4.727 Å; angles 97.37, 97.37, 84.45 degrees
Fractional coordinates of all 12 atoms:
Cu 0.000 0.000 0.000
Cu 0.252 0.243 0.751
Cu 0.673 0.327 0.000
Cu 0.757 0.748 0.249
Cu 0.838 0.162 0.500
Pt 0.080 0.403 0.249
Pt 0.159 0.841 0.500
Pt 0.339 0.661 0.000
Pt 0.425 0.082 0.246
Pt 0.509 0.491 0.500
Pt 0.597 0.920 0.751
Pt 0.918 0.575 0.754

Properties
volume	172	Å³ per cell
final energy	-64.04	eV per cell


Cu3Pt5: relaxed, PBE.

Cell lengths 5.471, 5.471, 5.471 Å; angles 60.13, 60.13, 60.13 degrees
Fractional coordinates of all 8 atoms:
Cu 0.000 0.500 0.500
Cu 0.500 0.000 0.500
Cu 0.500 0.500 0.000
Pt 0.000 0.000 0.000
Pt 0.000 0.000 0.500
Pt 0.000 0.500 0.000
Pt 0.500 0.000 0.000
Pt 0.500 0.500 0.500

Properties
volume	116	Å³ per cell
final energy	-43.52	eV per cell


Cu5Pt4: relaxed, PBE.

Cell lengths 7.471, 7.471, 5.205 Å; angles 90.00, 90.00, 120.00 degrees
Fractional coordinates of all 18 atoms:
Cu 0.000 0.323 0.250
Cu 0.000 0.677 0.750
Cu 0.323 0.000 0.250
Cu 0.323 0.323 0.750
Cu 0.333 0.667 0.000
Cu 0.333 0.667 0.500
Cu 0.667 0.333 0.000
Cu 0.667 0.333 0.500
Cu 0.677 0.000 0.750
Cu 0.677 0.677 0.250
Pt 0.000 0.000 0.000
Pt 0.000 0.000 0.500
Pt 0.000 0.348 0.750
Pt 0.000 0.652 0.250
Pt 0.348 0.000 0.750
Pt 0.348 0.348 0.250
Pt 0.652 0.000 0.250
Pt 0.652 0.652 0.750

Properties
volume	252	Å³ per cell
final energy	-90.02	eV per cell


CuPt2: relaxed, PBE.

Cell lengths 4.755, 4.755, 9.110 Å; angles 95.17, 95.17, 119.94 degrees
Fractional coordinates of all 12 atoms:
Cu 0.040 0.208 0.125
Cu 0.208 0.040 0.625
Cu 0.792 0.960 0.375
Cu 0.960 0.792 0.875
Pt 0.121 0.626 0.375
Pt 0.290 0.451 0.875
Pt 0.374 0.879 0.125
Pt 0.451 0.290 0.375
Pt 0.549 0.710 0.625
Pt 0.626 0.121 0.875
Pt 0.710 0.549 0.125
Pt 0.879 0.374 0.625

Properties
volume	176	Å³ per cell
final energy	-65.78	eV per cell


Cu5Pt3: relaxed, PBE.

Cell lengths 7.011, 7.011, 7.364 Å; angles 94.93, 94.93, 140.23 degrees
Fractional coordinates of all 16 atoms:
Cu 0.097 0.768 0.824
Cu 0.232 0.903 0.176
Cu 0.253 0.253 0.020
Cu 0.327 0.522 0.661
Cu 0.478 0.673 0.339
Cu 0.522 0.327 0.661
Cu 0.673 0.478 0.339
Cu 0.747 0.747 0.980
Cu 0.768 0.097 0.824
Cu 0.903 0.232 0.176
Pt 0.097 0.097 0.349
Pt 0.211 0.789 0.500
Pt 0.329 0.671 0.000
Pt 0.671 0.329 0.000
Pt 0.789 0.211 0.500
Pt 0.903 0.903 0.651

Properties
volume	224	Å³ per cell
final energy	-77.34	eV per cell


Cu7Pt: relaxed, PBE.

Cell lengths 5.209, 5.209, 5.209 Å; angles 60.00, 60.00, 60.00 degrees
Fractional coordinates of all 8 atoms:
Cu 0.000 0.000 0.000
Cu 0.000 0.000 0.500
Cu 0.000 0.500 0.000
Cu 0.000 0.500 0.500
Cu 0.500 0.000 0.000
Cu 0.500 0.000 0.500
Cu 0.500 0.500 0.000
Pt 0.500 0.500 0.500

Properties
volume	100	Å³ per cell
final energy	-35.38	eV per cell


Cu3Pt5: relaxed, PBE.

Cell lengths 4.657, 6.561, 8.196 Å; angles 92.80, 97.93, 106.00 degrees
Fractional coordinates of all 16 atoms:
Cu 0.123 0.004 0.379
Cu 0.218 0.422 0.464
Cu 0.269 0.694 0.017
Cu 0.731 0.306 0.983
Cu 0.782 0.578 0.536
Cu 0.877 0.996 0.621
Pt 0.118 0.407 0.771
Pt 0.211 0.042 0.904
Pt 0.270 0.346 0.156
Pt 0.316 0.799 0.653
Pt 0.488 0.777 0.342
Pt 0.512 0.223 0.658
Pt 0.684 0.201 0.347
Pt 0.730 0.654 0.844
Pt 0.789 0.958 0.096
Pt 0.882 0.593 0.229

Properties
volume	237	Å³ per cell
final energy	-85.08	eV per cell


Question: The lowest volume belongs to which entry?
Answer: Cu7Pt